The following is a DFT calculation (GGA-PBE) of a geometry-optimized CePa3 structure.

Lattice parameters (Å, degrees): 4.6606 4.6606 4.6606 90.00 90.00 90.00
Fractional positions:
Ce 0.0000 0.0000 0.0000
Pa 0.0000 0.5000 0.5000
Pa 0.5000 0.0000 0.5000
Pa 0.5000 0.5000 0.0000

**DOS(E_F)**: 7.8 states/eV/f.u.
**Magnetic moment**: 0.000 μB/atom
**Distance to the lowest polymorph of the same formula**: 0.000 eV per atom
**Formation enthalpy at 0 K**: 0.1 eV/f.u.
**Theoretical density**: 13.7 g/cm³

The following is a DFT calculation (GGA-PBE) of a geometry-optimized Cu2PtPb structure.

Lattice parameters (Å, degrees): 4.5499 4.5499 4.5499 60.00 60.00 60.00
Fractional positions:
Cu 0.2500 0.2500 0.2500
Cu 0.0000 0.0000 0.0000
Pt 0.7500 0.7500 0.7500
Pb 0.5000 0.5000 0.5000

**DOS(E_F)**: 3.3 states/eV/f.u.
**Magnetic moment**: 0.000 μB/atom
**Formation enthalpy at 0 K**: 0.5 eV/f.u.
**Theoretical density**: 13.2 g/cm³

The following is a DFT calculation (GGA-PBE) of a geometry-optimized CdTe2Se2 structure.

Lattice parameters (Å, degrees): 7.3879 7.3879 5.6291 90.00 90.00 90.00
Fractional positions:
Te 0.8636 0.3636 0.5000
Te 0.6364 0.8636 0.5000
Te 0.1364 0.6364 0.5000
Te 0.3636 0.1364 0.5000
Se 0.8318 0.3318 0.0000
Se 0.1682 0.6682 0.0000
Se 0.6682 0.8318 0.0000
Se 0.3318 0.1682 0.0000
Cd 0.5000 0.5000 0.0000
Cd 0.0000 0.0000 0.0000

**Formation energy (no corrections)**: -0.040 eV/atom
**DOS(E_F)**: 2.2 states/eV/f.u.
**Magnetic moment**: 0.000 μB/atom
**Distance to the lowest polymorph of the same formula**: 0.000 eV per atom
**Theoretical density**: 5.7 g/cm³